First-principles (PBE) data for a geometry-optimized CeNd8Tm4 structure, as listed in Alexandria.

Cell lengths 7.3793, 7.3793, 10.1301 Å; angles 90.00, 111.36, 120.00 degrees
Sites, in units of the cell vectors:
Nd  0.9495  0.2046  0.6944
Tm  0.5000  0.5000  0.0000
Tm  0.0000  0.5000  0.0000
Nd  0.5580  0.7790  0.3370
Nd  0.0505  0.2551  0.3056
Nd  0.5102  0.2551  0.3056
Ce  0.0000  0.5000  0.5000
Nd  0.4420  0.2210  0.6630
Nd  0.4898  0.7449  0.6944
Nd  0.0505  0.7954  0.3056
Tm  0.5000  0.0000  0.0000
Tm  0.0000  0.0000  0.0000
Nd  0.9495  0.7449  0.6944

Output
Its space-group type is No. 166.

=====

First-principles (PBE) data for a geometry-optimized GeAu3C structure, as listed in Alexandria.

Cell lengths 4.4121, 4.4121, 4.4121 Å; angles 90.00, 90.00, 90.00 degrees
Sites, in units of the cell vectors:
Au  0.5000  0.0000  0.0000
Au  0.0000  0.0000  0.5000
C  0.0000  0.0000  0.0000
Au  0.0000  0.5000  0.0000
Ge  0.5000  0.5000  0.5000

Output
Its space-group type is No. 221. The calculation puts the relative energy among the computed polymorphs at 0 meV per atom.

=====

no.,DOS at the Fermi energy (states/eV/atom),calculated total energy (eV per atom),E_form (meV per atom)
1,1.53,-4.614,152
2,0.46,-3.939,796